The following is a DFT calculation (PBE) of crystalline YAlSi at its relaxed geometry.

formation energy from raw total energies	-83	kJ/mol of formula units
total magnetic moment	0.0	μB/cell

a = 5.750 Å, b = 5.750 Å, c = 5.750 Å
α = 148.21°, β = 142.87°, γ = 49.66°
Positions (direct):
Si 0.362 0.362 0.000
Al 0.968 0.968 0.000
Y 0.670 0.670 0.000

The following is a DFT calculation (PBE) of crystalline Pu2GaRe3 at its relaxed geometry.

energy relative to the elements	-28	kJ/mol of formula units
total magnetic moment	9.9	μB/cell

a = 5.328 Å, b = 5.328 Å, c = 5.472 Å
α = 90.00°, β = 119.27°, γ = 119.86°
Positions (direct):
Re 0.500 0.000 0.500
Re 0.000 0.000 0.500
Pu 0.247 0.623 0.871
Pu 0.753 0.377 0.129
Re 0.500 0.500 0.500
Ga 0.000 0.000 0.000

The following is a DFT calculation (PBE) of crystalline Tm3CoIr at its relaxed geometry.

energy relative to the elements	-245	kJ/mol of formula units
total magnetic moment	0.0	μB/cell

a = 4.270 Å, b = 5.912 Å, c = 8.517 Å
α = 90.00°, β = 90.00°, γ = 90.00°
Positions (direct):
Tm 0.750 0.254 0.451
Ir 0.250 0.457 0.250
Ir 0.750 0.543 0.750
Co 0.750 0.962 0.750
Tm 0.250 0.746 0.951
Tm 0.750 0.254 0.049
Tm 0.750 0.760 0.250
Co 0.250 0.038 0.250
Tm 0.250 0.240 0.750
Tm 0.250 0.746 0.549